# K2CaPt GGA-PBE relaxed
# ΔE to the lowest computed polymorph	274	meV per atom
# total magnetization	0.000	μB per cell
# formation enthalpy at 0 K	0.0184	eV per atom
# crystal system	tetragonal
# Fermi-level density of states	1.07	states/eV/cell
# calculated volume	30.3	A^3/atom
# calculated density	4.29	g cm⁻³
data_K2CaPt
_chemical_formula_sum 'K2 Ca1 Pt1'
_cell_length_a 5.5545
_cell_length_b 5.5545
_cell_length_c 5.5545
_cell_angle_alpha 119.91
_cell_angle_beta 119.91
_cell_angle_gamma 90.16
_symmetry_space_group_name_H-M 'P 1'
_symmetry_Int_Tables_number 1
loop_
_symmetry_equiv_pos_as_xyz
'x,y,z'
loop_
_atom_site_label
_atom_site_type_symbol
_atom_site_fract_x
_atom_site_fract_y
_atom_site_fract_z
K1 K 0.0000 0.0000 0.0000
K2 K 0.7500 0.2500 0.5000
Ca1 Ca 0.2500 0.7500 0.5000
Pt1 Pt 0.5000 0.5000 0.0000